No. 1
# LiPtNF2 (GGA-PBE, optimized geometry)
# DOS(E_F) in states/eV/f.u.: 1.72
# Formation energy (no corrections) in meV per atom: -658
# Energy relative to the lowest polymorph listed for this composition in eV per atom: 0.0000
data_LiPtNF2
_chemical_formula_sum 'Li1 Pt1 N1 F2'
_space_group_name_H-M_alt 'P 4/m m m'
_space_group_IT_number 123
_space_group_name_Hall '-P 4 2'
_cell_length_a 4.584
_cell_length_b 4.584
_cell_length_c 3.664
_cell_angle_alpha 90.00
_cell_angle_beta 90.00
_cell_angle_gamma 90.00
loop_
_atom_site_label
_atom_site_type_symbol
_atom_site_fract_x
_atom_site_fract_y
_atom_site_fract_z
Li1 Li 0.000 0.000 0.000
Pt1 Pt 0.500 0.500 0.500
N1 N 0.500 0.500 0.000
F1 F 0.000 0.500 0.500

---

No. 2
# LiPtNF2 (GGA-PBE, optimized geometry)
# DOS(E_F) in states/eV/f.u.: 3.02
# Formation energy (no corrections) in meV per atom: -132
# Energy relative to the lowest polymorph listed for this composition in eV per atom: 0.5266
data_LiPtNF2
_chemical_formula_sum 'Li1 Pt1 N1 F2'
_space_group_name_H-M_alt 'P 4/m m m'
_space_group_IT_number 123
_space_group_name_Hall '-P 4 2'
_cell_length_a 3.312
_cell_length_b 3.312
_cell_length_c 4.925
_cell_angle_alpha 90.00
_cell_angle_beta 90.00
_cell_angle_gamma 90.00
loop_
_atom_site_label
_atom_site_type_symbol
_atom_site_fract_x
_atom_site_fract_y
_atom_site_fract_z
Li1 Li 0.000 0.000 0.000
Pt1 Pt 0.500 0.500 0.500
N1 N 0.000 0.000 0.500
F1 F 0.000 0.500 0.000

---

No. 3
# LiPtN2F (GGA-PBE, optimized geometry)
# DOS(E_F) in states/eV/f.u.: 3.85
# Formation energy (no corrections) in meV per atom: 1190
# Energy relative to the lowest polymorph listed for this composition in eV per atom: 1.0157
data_LiPtN2F
_chemical_formula_sum 'Li1 Pt1 N2 F1'
_space_group_name_H-M_alt 'P 4/m m m'
_space_group_IT_number 123
_space_group_name_Hall '-P 4 2'
_cell_length_a 3.876
_cell_length_b 3.876
_cell_length_c 3.229
_cell_angle_alpha 90.00
_cell_angle_beta 90.00
_cell_angle_gamma 90.00
loop_
_atom_site_label
_atom_site_type_symbol
_atom_site_fract_x
_atom_site_fract_y
_atom_site_fract_z
Li1 Li 0.000 0.000 0.000
Pt1 Pt 0.500 0.500 0.500
N1 N 0.000 0.500 0.000
F1 F 0.000 0.000 0.500